Entry from Alexandria: crystalline Dy12Fe6Sn at its relaxed geometry (GGA-PBE).

Summary:
Energy of formation   -2.25 eV/f.u.
Crystal system   cubic
Final energy   -5.9082 eV/atom
Spin magnetization   12.221 μB per cell

abc: 9.7015 9.7015 9.7015
angles: 90.00 90.00 90.00
Space group Im-3 (No. 204)
Inequivalent atoms, fractional coordinates:
Dy1 0.0000 0.1955 0.2989 (multiplicity 24)
Fe1 0.0000 0.3907 0.5000 (multiplicity 12)
Sn1 0.0000 0.0000 0.0000 (multiplicity 2)